# 1
Entry from Alexandria via LeMat-Bulk: a geometry-optimized GaTe2IrN structure (GGA-PBE).

POSCAR file:
```
GaTe2IrN
1.0
-5.3153 -0.5125 -1.7754
1.8479 -1.4710 -5.1077
0.0007 -3.5112 1.0115
Te Ir Ga N
2 1 1 1
Direct
0.0000 0.5000 0.0000
0.5000 0.0000 0.0000
0.0000 0.0000 0.0000
0.5000 0.5000 0.5000
0.0000 0.0000 0.5000
```

Properties
- Calculated density: 7.622 g/cm³
- Excess energy over the best structure of this formula in the dataset: 0 meV/atom
- Uncorrected formation energy: 0.26 eV per atom
- Final energy: -5.038 eV per atom



# 2
Entry from Alexandria via LeMat-Bulk: a geometry-optimized Tb2Si4Ni3Au structure (GGA-PBE).

POSCAR file:
```
Tb2Si4Ni3Au
1.0
4.0407 0.0000 0.0000
0.0000 4.0407 0.0000
0.0000 0.0000 9.6937
Ni Si Tb Au
3 4 2 1
Direct
0.0000 0.5000 0.1173
0.0000 0.0000 0.5000
0.5000 0.0000 0.8827
0.5000 0.5000 0.0000
0.0000 0.5000 0.3526
0.5000 0.0000 0.6474
0.0000 0.0000 0.0000
0.5000 0.0000 0.2401
0.0000 0.5000 0.7599
0.5000 0.5000 0.5000
```

Properties
- Calculated density: 8.427 g/cm³
- Uncorrected formation energy: -0.78 eV per atom
- Final energy: -5.941 eV per atom